No. 1
DFT (GGA-PBE) results for a relaxed LiZnPt2 crystal.

Calculated values
Crystal system   orthorhombic
Space group   No. 35
Electronic total energy   -16.34 eV/f.u.
ΔE_f   -0.268 eV/atom
Total moment   0.0 μB per formula unit

Unit cell a=2.7669 b=4.6797 c=9.2949 alpha=90.00 beta=90.00 gamma=90.00
Last column: nearest neighbours and their distance in Å.
Atoms (fractional coordinates):
Li 0.0000 0.0000 0.0000  2 Pt 2.52, 6 Li 2.72-2.77, 2 Zn 2.72
Li 0.5000 0.5000 0.0000  2 Pt 2.52, 6 Li 2.72-2.77, 2 Zn 2.72
Zn 0.0000 0.5000 0.7478  2 Pt 2.64, 6 Zn 2.72-2.77, 2 Li 2.72
Zn 0.5000 0.0000 0.7478  2 Pt 2.64, 6 Zn 2.72-2.77, 2 Li 2.72
Pt 0.0000 0.0000 0.5064  2 Zn 2.64, 8 Pt 2.72-2.94
Pt 0.0000 0.5000 0.2272  2 Li 2.52, 6 Pt 2.72-2.77
Pt 0.5000 0.0000 0.2272  2 Li 2.52, 6 Pt 2.72-2.77
Pt 0.5000 0.5000 0.5064  2 Zn 2.64, 8 Pt 2.72-2.94



No. 2
DFT (GGA-PBE) results for a relaxed BeHF3 crystal.

Calculated values
Crystal system   monoclinic
Space group   No. 12
Electronic total energy   -24.33 eV/f.u.
Total moment   0.0 μB per formula unit
Relative energy among the computed polymorphs   0 meV per atom

Unit cell a=6.0109 b=6.0109 c=7.2613 alpha=100.50 beta=100.50 gamma=22.90
Last column: nearest neighbours and their distance in Å.
Atoms (fractional coordinates):
Be 0.1555 0.1555 0.4434  3 F 1.55-1.62
Be 0.8445 0.8445 0.5566  3 F 1.55-1.62
H 0.3765 0.3765 0.0414  2 F 1.19
H 0.6235 0.6235 0.9586  2 F 1.19
F 0.1236 0.1236 0.9631  2 H 1.19
F 0.2786 0.2786 0.3738  1 Be 1.62
F 0.4222 0.4222 0.6382  2 Be 1.55
F 0.5778 0.5778 0.3618  2 Be 1.55
F 0.7214 0.7214 0.6262  1 Be 1.62
F 0.8764 0.8764 0.0369  2 H 1.19



No. 3
DFT (GGA-PBE) results for a relaxed P2SBrN crystal.

Calculated values
Crystal system   tetragonal
Space group   No. 123
Electronic total energy   -18.29 eV/f.u.
Total moment   0.0 μB per formula unit
Relative energy among the computed polymorphs   0 meV per atom
Uncorrected formation energy   1.3318 eV per atom

Unit cell a=4.2565 b=4.2565 c=4.3696 alpha=90.00 beta=90.00 gamma=90.00
Last column: nearest neighbours and their distance in Å.
Atoms (fractional coordinates):
P 0.0000 0.5000 0.0000  2 N 2.13
P 0.5000 0.0000 0.0000  2 N 2.13
S 0.0000 0.0000 0.5000  2 N 2.18
Br 0.5000 0.5000 0.5000  4 S 3.01, 8 P 3.05
N 0.0000 0.0000 0.0000  4 P 2.13, 2 S 2.18



No. 4
DFT (GGA-PBE) results for a relaxed BeInTe2Cl crystal.

Calculated values
Crystal system   tetragonal
Space group   No. 123
Electronic total energy   -11.67 eV/f.u.
Total moment   0.0 μB per formula unit
Uncorrected formation energy   0.5841 eV per atom

Unit cell a=5.7840 b=5.7840 c=4.9923 alpha=90.00 beta=90.00 gamma=90.00
Last column: nearest neighbours and their distance in Å.
Atoms (fractional coordinates):
Be 0.0000 0.0000 0.0000  8 Te 3.82, 4 Cl 4.09
In 0.5000 0.5000 0.5000  2 Cl 2.50
Te 0.0000 0.5000 0.5000  2 In 2.89
Te 0.5000 0.0000 0.5000  2 In 2.89
Cl 0.5000 0.5000 0.0000  2 In 2.50



No. 5
DFT (GGA-PBE) results for a relaxed YbIn2Pt crystal.

Calculated values
Crystal system   orthorhombic
Space group   No. 63
Electronic total energy   -16.08 eV/f.u.
ΔE_f   -0.759 eV/atom
Total moment   0.0 μB per formula unit

Unit cell a=4.3703 b=10.2268 c=8.1414 alpha=90.00 beta=90.00 gamma=90.00
Last column: nearest neighbours and their distance in Å.
Atoms (fractional coordinates):
Yb 0.0000 0.0684 0.2500  3 Pt 2.95-3.08
Yb 0.0000 0.9316 0.7500  3 Pt 2.95-3.08
Yb 0.5000 0.4316 0.7500  3 Pt 2.95-3.08
Yb 0.5000 0.5684 0.2500  3 Pt 2.95-3.08
In 0.0000 0.3569 0.0515  3 Pt 2.83, 1 In 3.04
In 0.0000 0.3569 0.4485  3 Pt 2.83, 1 In 3.04
In 0.0000 0.6431 0.5515  3 Pt 2.83, 1 In 3.04
In 0.0000 0.6431 0.9485  3 Pt 2.83, 1 In 3.04
In 0.5000 0.1431 0.5515  3 Pt 2.83, 1 In 3.04
In 0.5000 0.1431 0.9485  3 Pt 2.83, 1 In 3.04
In 0.5000 0.8569 0.0515  3 Pt 2.83, 1 In 3.04
In 0.5000 0.8569 0.4485  3 Pt 2.83, 1 In 3.04
Pt 0.0000 0.2198 0.7500  6 In 2.83, 3 Yb 2.95-3.08
Pt 0.0000 0.7802 0.2500  6 In 2.83, 3 Yb 2.95-3.08
Pt 0.5000 0.2802 0.2500  6 In 2.83, 3 Yb 2.95-3.08
Pt 0.5000 0.7198 0.7500  6 In 2.83, 3 Yb 2.95-3.08



No. 6
DFT (GGA-PBE) results for a relaxed LaSmYTh crystal.

Calculated values
Crystal system   cubic
Space group   No. 216
Electronic total energy   -22.69 eV/f.u.
ΔE_f   0.209 eV/atom
Total moment   0.0 μB per formula unit
Relative energy among the computed polymorphs   184 meV per atom

Unit cell a=8.1634 b=8.1634 c=8.1634 alpha=90.00 beta=90.00 gamma=90.00
Last column: nearest neighbours and their distance in Å.
Atoms (fractional coordinates):
La 0.0000 0.0000 0.0000  4 Th 3.53, 4 Y 3.53
La 0.0000 0.5000 0.5000  4 Th 3.53, 4 Y 3.53
La 0.5000 0.0000 0.5000  4 Th 3.53, 4 Y 3.53
La 0.5000 0.5000 0.0000  4 Th 3.53, 4 Y 3.53
Sm 0.0000 0.0000 0.5000  4 Y 3.53, 4 Th 3.53
Sm 0.0000 0.5000 0.0000  4 Y 3.53, 4 Th 3.53
Sm 0.5000 0.0000 0.0000  4 Y 3.53, 4 Th 3.53
Sm 0.5000 0.5000 0.5000  4 Y 3.53, 4 Th 3.53
Y 0.2500 0.2500 0.7500  4 La 3.53, 4 Sm 3.53
Y 0.2500 0.7500 0.2500  4 La 3.53, 4 Sm 3.53
Y 0.7500 0.2500 0.2500  4 La 3.53, 4 Sm 3.53
Y 0.7500 0.7500 0.7500  4 La 3.53, 4 Sm 3.53
Th 0.2500 0.2500 0.2500  4 Sm 3.53, 4 La 3.53
Th 0.2500 0.7500 0.7500  4 Sm 3.53, 4 La 3.53
Th 0.7500 0.2500 0.7500  4 Sm 3.53, 4 La 3.53
Th 0.7500 0.7500 0.2500  4 Sm 3.53, 4 La 3.53



No. 7
DFT (GGA-PBE) results for a relaxed PmDy2Pu crystal.

Calculated values
Crystal system   tetragonal
Space group   No. 123
Electronic total energy   -27.71 eV/f.u.
ΔE_f   0.144 eV/atom
Total moment   6.2 μB per formula unit
Relative energy among the computed polymorphs   43 meV per atom

Unit cell a=4.9934 b=4.9934 c=4.9950 alpha=90.00 beta=90.00 gamma=90.00
Last column: nearest neighbours and their distance in Å.
Atoms (fractional coordinates):
Pm 0.0000 0.0000 0.0000  4 Pu 3.53, 8 Dy 3.53
Dy 0.0000 0.5000 0.5000  4 Dy 3.53, 4 Pm 3.53, 4 Pu 3.53
Dy 0.5000 0.0000 0.5000  4 Dy 3.53, 4 Pm 3.53, 4 Pu 3.53
Pu 0.5000 0.5000 0.0000  4 Pm 3.53, 8 Dy 3.53



No. 8
DFT (GGA-PBE) results for a relaxed K2NaU3Se8 crystal.

Calculated values
Crystal system   trigonal
Space group   No. 160
Electronic total energy   -82.16 eV/f.u.
Total moment   5.0 μB per formula unit
Uncorrected formation energy   -1.2075 eV per atom

Unit cell a=9.5024 b=9.5024 c=9.5024 alpha=52.53 beta=52.53 gamma=52.53
Last column: nearest neighbours and their distance in Å.
Atoms (fractional coordinates):
K 0.0000 0.0000 0.0000  6 Se 3.39-3.42
K 0.3550 0.3550 0.3550  4 Se 3.17-3.27
Na 0.5090 0.5090 0.5090  6 Se 2.94-3.12
U 0.5027 0.9966 0.9966  6 Se 2.79-2.87
U 0.9966 0.5027 0.9966  6 Se 2.79-2.87
U 0.9966 0.9966 0.5027  6 Se 2.79-2.87
Se 0.2004 0.7428 0.7428  2 U 2.79, 1 Na 2.94
Se 0.2256 0.2256 0.2256  3 U 2.87, 1 K 3.17
Se 0.2607 0.2607 0.7903  2 U 2.81, 1 Na 3.12
Se 0.2607 0.7903 0.2607  2 U 2.81, 1 Na 3.12
Se 0.7428 0.2004 0.7428  2 U 2.79, 1 Na 2.94
Se 0.7428 0.7428 0.2004  2 U 2.79, 1 Na 2.94
Se 0.7692 0.7692 0.7692  3 U 2.85
Se 0.7903 0.2607 0.2607  2 U 2.81, 1 Na 3.12



No. 9
DFT (GGA-PBE) results for a relaxed BaTc3P crystal.

Calculated values
Crystal system   cubic
Space group   No. 221
Electronic total energy   -35.70 eV/f.u.
ΔE_f   0.547 eV/atom
Total moment   2.5 μB per formula unit
Relative energy among the computed polymorphs   0 meV per atom

Unit cell a=4.6273 b=4.6273 c=4.6273 alpha=90.00 beta=90.00 gamma=90.00
Last column: nearest neighbours and their distance in Å.
Atoms (fractional coordinates):
Ba 0.0000 0.0000 0.0000  12 Tc 3.27
Tc 0.0000 0.5000 0.5000  2 P 2.31
Tc 0.5000 0.0000 0.5000  2 P 2.31
Tc 0.5000 0.5000 0.0000  2 P 2.31
P 0.5000 0.5000 0.5000  6 Tc 2.31



No. 10
DFT (GGA-PBE) results for a relaxed Li2MgH crystal.

Calculated values
Crystal system   tetragonal
Space group   No. 122
Electronic total energy   -9.17 eV/f.u.
Total moment   0.0 μB per formula unit
Relative energy among the computed polymorphs   77 meV per atom

Unit cell a=5.6572 b=5.6572 c=7.9515 alpha=90.00 beta=90.00 gamma=90.00
Last column: nearest neighbours and their distance in Å.
Atoms (fractional coordinates):
Li 0.0015 0.2500 0.1250  2 H 1.73
Li 0.2500 0.5015 0.3750  2 H 1.73
Li 0.2500 0.9985 0.8750  2 H 1.73
Li 0.4985 0.2500 0.6250  2 H 1.73
Li 0.5015 0.7500 0.6250  2 H 1.73
Li 0.7500 0.0015 0.8750  2 H 1.73
Li 0.7500 0.4985 0.3750  2 H 1.73
Li 0.9985 0.7500 0.1250  2 H 1.73
Mg 0.0000 0.0000 0.5000  12 Li 3.30-3.32, 4 H 3.46, 4 Mg 3.46
Mg 0.0000 0.5000 0.7500  12 Li 3.30-3.32, 4 H 3.46, 4 Mg 3.46
Mg 0.5000 0.0000 0.2500  12 Li 3.30-3.32, 4 H 3.46, 4 Mg 3.46
Mg 0.5000 0.5000 0.0000  12 Li 3.30-3.32, 4 H 3.46, 4 Mg 3.46
H 0.0000 0.0000 0.0000  4 Li 1.73
H 0.0000 0.5000 0.2500  4 Li 1.73
H 0.5000 0.0000 0.7500  4 Li 1.73
H 0.5000 0.5000 0.5000  4 Li 1.73



No. 11
DFT (GGA-PBE) results for a relaxed AgGeSe2 crystal.

Calculated values
Crystal system   monoclinic
Space group   No. 6
Electronic total energy   -15.10 eV/f.u.
Total moment   0.0 μB per formula unit
Uncorrected formation energy   -0.1645 eV per atom

Unit cell a=6.6982 b=4.7005 c=6.8340 alpha=90.00 beta=90.09 gamma=90.00
Last column: nearest neighbours and their distance in Å.
Atoms (fractional coordinates):
Ag 0.0000 0.0000 0.0000  4 Se 2.68-2.78
Ag 0.4033 0.0000 0.2538  4 Se 2.62-2.83
Ge 0.1193 0.5000 0.4840  4 Se 2.50-2.55
Ge 0.4895 0.5000 0.8171  4 Se 2.50-2.55
Se 0.0058 0.0000 0.3919  2 Ge 2.55, 2 Ag 2.68-2.83
Se 0.1174 0.5000 0.8516  2 Ge 2.50-2.51, 2 Ag 2.68
Se 0.4905 0.5000 0.4504  2 Ge 2.50-2.51, 2 Ag 2.77
Se 0.5932 0.0000 0.9187  2 Ge 2.55, 2 Ag 2.62-2.78



No. 12
DFT (GGA-PBE) results for a relaxed ZrCr2Cd crystal.

Calculated values
Crystal system   orthorhombic
Space group   No. 35
Electronic total energy   -27.46 eV/f.u.
ΔE_f   0.313 eV/atom
Total moment   0.0 μB per formula unit

Unit cell a=3.1678 b=4.6725 c=8.9920 alpha=90.00 beta=90.00 gamma=90.00
Last column: nearest neighbours and their distance in Å.
Atoms (fractional coordinates):
Zr 0.0000 0.0000 0.0000  2 Cr 2.76, 4 Zr 2.82
Zr 0.5000 0.5000 0.0000  2 Cr 2.76, 4 Zr 2.82
Cr 0.0000 0.0000 0.4281  2 Cr 2.25
Cr 0.0000 0.5000 0.2510  2 Cr 2.25
Cr 0.5000 0.0000 0.2510  2 Cr 2.25
Cr 0.5000 0.5000 0.4281  2 Cr 2.25
Cd 0.0000 0.5000 0.6943  4 Cd 2.82, 2 Cr 2.87
Cd 0.5000 0.0000 0.6943  4 Cd 2.82, 2 Cr 2.87